Material: RbTb2AuS4
Method: DFT, PBE
State: relaxed

Output
Energy relative to the elements, uncorrected = -1.54 eV/atom
M_tot = 0.00 μB/cell
Density = 6.04 Mg/m³
Uncorrected energy = -5.29 eV/atom

Geometry as CIF:
```
data_RbTb2AuS4
_cell_length_a 4.073
_cell_length_b 13.868
_cell_length_c 14.190
_cell_angle_alpha 90.00
_cell_angle_beta 90.00
_cell_angle_gamma 90.00
_symmetry_space_group_name_H-M 'C m c m'
_symmetry_Int_Tables_number 63
_symmetry_space_group_name_Hall '-C 2c 2'
loop_
_atom_site_label
_atom_site_type_symbol
_atom_site_fract_x
_atom_site_fract_y
_atom_site_fract_z
_atom_site_occupancy
Rb1 Rb 0.000 0.118 0.250 1
Tb1 Tb 0.000 0.369 0.066 1
Au1 Au 0.000 0.160 0.750 1
S1 S 0.000 0.000 0.000 1
S2 S 0.000 0.260 0.601 1
S3 S 0.000 0.443 0.250 1
```